Entry 1:
Here is an optimized crystal structure of AlTePb2 from Alexandria. Energies are from PBE.

Unit cell a=4.590 b=4.590 c=11.143 alpha=90.00 beta=90.00 gamma=90.00
Fractional coordinates of all 8 atoms:
Al1 0.000 0.000 0.000
Al2 0.500 0.500 0.500
Te1 0.000 0.500 0.250
Te2 0.500 0.000 0.750
Pb1 0.000 0.000 0.500
Pb2 0.000 0.500 0.750
Pb3 0.500 0.000 0.250
Pb4 0.500 0.500 0.000

Calculated values
energy above the most stable polymorph in this dataset: 77.3 meV per atom


Entry 2:
Here is an optimized crystal structure of AlTe3Pb from Alexandria. Energies are from PBE.

Unit cell a=5.390 b=5.390 c=5.390 alpha=90.00 beta=90.00 gamma=90.00
Fractional coordinates of all 5 atoms:
Al1 0.000 0.000 0.000
Te1 0.000 0.000 0.500
Te2 0.000 0.500 0.000
Te3 0.500 0.000 0.000
Pb1 0.500 0.500 0.500

Calculated values
energy above the most stable polymorph in this dataset: 0.0 meV per atom


Entry 3:
Here is an optimized crystal structure of AlTePb2 from Alexandria. Energies are from PBE.

Unit cell a=4.531 b=5.142 c=9.700 alpha=90.00 beta=90.00 gamma=90.00
Fractional coordinates of all 8 atoms:
Al1 0.000 0.000 0.000
Al2 0.500 0.500 0.000
Te1 0.000 0.000 0.500
Te2 0.500 0.500 0.500
Pb1 0.000 0.500 0.211
Pb2 0.000 0.500 0.789
Pb3 0.500 0.000 0.211
Pb4 0.500 0.000 0.789

Calculated values
energy above the most stable polymorph in this dataset: 88.8 meV per atom


E_form (uncorrected) per entry: 0.531; 0.067; 0.577 eV per formula unit
VASP energy per entry: -3.44; -3.36; -3.43 eV/atom